CsGaCCl2 | PBE | relaxed

Unit cell a=5.903 b=3.659 c=5.903 alpha=90.00 beta=90.00 gamma=90.00
Element x y z (fractional)
Ga: 0.000 0.500 0.000
C: 0.000 0.000 0.000
Cl: 0.500 0.000 0.000
Cl: 0.000 0.000 0.500
Cs: 0.500 0.500 0.500

The total DFT energy (no corrections) is -16.70 eV for the cell shown. The calculation puts the uncorrected formation energy at 0.020 eV/atom. As for the density of states at the Fermi level: 1.98 states/eV/f.u.